No. 1
The following is a GGA-PBE calculation of an optimized crystal structure of Tl2CdGeO4, from the Alexandria database.

The magnetic moment comes out at 0.0 μB/f.u. The value obtained for the density of states at the Fermi level is 0.00 states/eV per cell. The formation energy without anion corrections comes out at -1.1811 eV per atom.

The space group is Pmn2_1 (No. 31) and the conventional cell measures 6.916, 8.593 and 5.548 Å, with angles of 90.00, 90.00 and 90.00 degrees. Symmetry generates all atoms from Tl at (0.249, 0.185, 0.000), Cd at (0.000, 0.393, 0.483), Ge at (0.000, 0.611, 0.984), O at (0.000, 0.410, 0.077), O at (0.000, 0.625, 0.660) and O at (0.214, 0.705, 0.089).

No. 2
The following is a GGA-PBE calculation of an optimized crystal structure of Nd14YPu, from the Alexandria database.

The magnetic moment comes out at 6.6 μB/f.u. The value obtained for the density of states at the Fermi level is 31.46 states/eV per cell. As for the calculated formation energy: 0.04 eV/atom.

The space group is P4/mmm (No. 123) and the conventional cell measures 7.322, 7.322 and 10.320 Å, with angles of 90.00, 90.00 and 90.00 degrees. Symmetry generates all atoms from Nd at (0.000, 0.000, 0.000), Nd at (0.000, 0.500, 0.000), Nd at (0.000, 0.500, 0.500), Nd at (0.248, 0.248, 0.254), Nd at (0.500, 0.500, 0.000), Y at (0.500, 0.500, 0.500) and Pu at (0.000, 0.000, 0.500).

No. 3
The following is a GGA-PBE calculation of an optimized crystal structure of AgSnSCl2, from the Alexandria database.

The magnetic moment comes out at 0.0 μB/f.u. The offset from the most stable computed form comes out at 48 meV per atom. The value obtained for the density of states at the Fermi level is 0.89 states/eV per cell. The formation energy without anion corrections comes out at -0.1349 eV per atom.

The space group is P4/mmm (No. 123) and the conventional cell measures 4.921, 4.921 and 5.084 Å, with angles of 90.00, 90.00 and 90.00 degrees. Symmetry generates all atoms from Ag at (0.000, 0.000, 0.000), Sn at (0.500, 0.500, 0.500), S at (0.000, 0.000, 0.500) and Cl at (0.000, 0.500, 0.000).

No. 4
The following is a GGA-PBE calculation of an optimized crystal structure of PmDyTm14, from the Alexandria database.

The magnetic moment comes out at 0.0 μB/f.u. The value obtained for the density of states at the Fermi level is 45.29 states/eV per cell. As for the calculated formation energy: 0.01 eV/atom.

The space group is Amm2 (No. 38) and the conventional cell measures 11.305, 7.048 and 12.187 Å, with angles of 90.00, 90.00 and 90.00 degrees. Symmetry generates all atoms from Pm at (0.000, 0.000, 0.000), Dy at (0.000, 0.000, 0.500), Tm at (0.000, 0.250, 0.250), Tm at (0.251, 0.000, 0.667), Tm at (0.252, 0.000, 0.167), Tm at (0.253, 0.250, 0.417), Tm at (0.500, 0.000, 0.334), Tm at (0.500, 0.000, 0.834) and Tm at (0.500, 0.250, 0.084).

No. 5
The following is a GGA-PBE calculation of an optimized crystal structure of Tb2Pm2Dy2Y, from the Alexandria database.

The magnetic moment comes out at 0.0 μB/f.u. The value obtained for the density of states at the Fermi level is 54.78 states/eV per cell. As for the calculated formation energy: 0.14 eV/atom.

The space group is R-3m (No. 166, hexagonal axes) and the conventional cell measures 5.7066, 5.7066 and 24.5097 Å, with angles of 90.00, 90.00 and 120.00 degrees. Symmetry generates all atoms from Tb at (0.0000, 0.0000, 0.2179), Pm at (0.0000, 0.0000, 0.3610), Dy at (0.0000, 0.0000, 0.0749) and Y at (0.0000, 0.0000, 0.5000).

No. 6
The following is a GGA-PBE calculation of an optimized crystal structure of RbIBr3, from the Alexandria database.

The magnetic moment comes out at 0.0 μB/f.u. The offset from the most stable computed form comes out at 30 meV per atom. The value obtained for the density of states at the Fermi level is 0.00 states/eV per cell. The formation energy without anion corrections comes out at -0.6982 eV per atom.

The space group is I4/mmm (No. 139) and the conventional cell measures 8.605, 8.605 and 12.365 Å, with angles of 90.00, 90.00 and 90.00 degrees. Symmetry generates all atoms from Rb at (0.000, 0.500, 0.250), I at (0.000, 0.000, 0.000), I at (0.000, 0.000, 0.500), Br at (0.000, 0.000, 0.220) and Br at (0.226, 0.226, 0.500).

No. 7
The following is a GGA-PBE calculation of an optimized crystal structure of VCd2Ir2, from the Alexandria database.

The magnetic moment comes out at 1.1 μB/f.u. The value obtained for the density of states at the Fermi level is 5.78 states/eV per cell. As for the calculated formation energy: 0.09 eV/atom.

The space group is P4/mbm (No. 127) and the conventional cell measures 6.391, 6.391 and 4.444 Å, with angles of 90.00, 90.00 and 90.00 degrees. Symmetry generates all atoms from V at (0.000, 0.000, 0.000), Cd at (0.173, 0.327, 0.500) and Ir at (0.137, 0.637, 0.000).

No. 8
The following is a GGA-PBE calculation of an optimized crystal structure of BeCr2Br, from the Alexandria database.

The magnetic moment comes out at 1.0 μB/f.u. The offset from the most stable computed form comes out at 546 meV per atom. The value obtained for the density of states at the Fermi level is 5.65 states/eV per cell. The formation energy without anion corrections comes out at 0.9243 eV per atom.

The space group is F-43m (No. 216) and the conventional cell measures 6.121, 6.121 and 6.121 Å, with angles of 90.00, 90.00 and 90.00 degrees. Symmetry generates all atoms from Be at (0.000, 0.000, 0.000), Cr at (0.000, 0.000, 0.500), Cr at (0.250, 0.250, 0.250) and Br at (0.250, 0.250, 0.750).